Compound: BaHf2Zn
Source: Alexandria via LeMat-Bulk
Functional: GGA-PBEsol
Structure: optimized geometry

Lattice parameters (Å, degrees): 7.0174 7.0174 7.0174 90.00 90.00 90.00
Space group Fm-3m (No. 225)
Inequivalent atoms, fractional coordinates:
1 Ba 0.0000 0.0000 0.0000 [4 per cell]
2 Hf 0.2500 0.2500 0.2500 [8 per cell]
3 Zn 0.0000 0.0000 0.5000 [4 per cell]

## Properties
Its density of states at the Fermi level is 17.31 states/eV/cell. The total energy comes out at -5.481 eV per atom. Its total moment is 0.0 Bohr magnetons per cell. The formation energy from the elements is 0.70 eV/atom.

***

Compound: BaHfZr3
Source: Alexandria via LeMat-Bulk
Functional: GGA-PBEsol
Structure: optimized geometry

Lattice parameters (Å, degrees): 5.3158 5.3158 5.3158 90.00 90.00 90.00
Space group Pm-3m (No. 221)
Inequivalent atoms, fractional coordinates:
1 Ba 0.0000 0.0000 0.0000 [1 per cell]
2 Hf 0.5000 0.5000 0.5000 [1 per cell]
3 Zr 0.0000 0.5000 0.5000 [3 per cell]

## Properties
Its density of states at the Fermi level is 9.03 states/eV/cell. The total energy comes out at -7.097 eV per atom. Its total moment is 0.0 Bohr magnetons per cell. The formation energy from the elements is 0.89 eV/atom.